(1)
# HgPbF4 (PBE-GGA, relaxed)
# Uncorrected formation energy = -11.37 eV per formula unit
# Uncorrected energy = -3.811 eV per atom
# Relative energy among the computed polymorphs = 28 meV per atom
data_HgPbF4
_space_group_name_H-M_alt 'I 41 m d'
_space_group_IT_number 109
_space_group_name_Hall 'I 4bw -2'
_cell_length_a 7.777
_cell_length_b 7.777
_cell_length_c 7.653
_cell_angle_alpha 90.00
_cell_angle_beta 90.00
_cell_angle_gamma 90.00
loop_
_atom_site_label
_atom_site_type_symbol
_atom_site_fract_x
_atom_site_fract_y
_atom_site_fract_z
Hg1 Hg 0.000 0.000 0.000
Pb1 Pb 0.000 0.000 0.500
F1 F 0.000 0.308 0.013
F2 F 0.000 0.314 0.492

=====

(2)
# ZnFe2Ag (PBE-GGA, relaxed)
# Uncorrected energy = -5.040 eV per atom
data_ZnFe2Ag
_space_group_name_H-M_alt 'C 1 m 1'
_space_group_IT_number 8
_space_group_name_Hall 'C -2y'
_cell_length_a 8.703
_cell_length_b 2.801
_cell_length_c 4.747
_cell_angle_alpha 90.00
_cell_angle_beta 103.63
_cell_angle_gamma 90.00
loop_
_atom_site_label
_atom_site_type_symbol
_atom_site_fract_x
_atom_site_fract_y
_atom_site_fract_z
Zn1 Zn 0.000 0.000 0.000
Fe1 Fe 0.252 0.500 0.253
Fe2 Fe 0.478 0.000 0.455
Ag1 Ag 0.239 0.000 0.742

=====

(3)
# ErCdPb3 (PBE-GGA, relaxed)
# Uncorrected energy = -3.455 eV per atom
# Relative energy among the computed polymorphs = 0 meV per atom
data_ErCdPb3
_space_group_name_H-M_alt 'P 1'
_space_group_IT_number 1
_space_group_name_Hall 'P 1'
_cell_length_a 4.575
_cell_length_b 5.980
_cell_length_c 6.023
_cell_angle_alpha 86.73
_cell_angle_beta 67.95
_cell_angle_gamma 68.01
loop_
_atom_site_label
_atom_site_type_symbol
_atom_site_fract_x
_atom_site_fract_y
_atom_site_fract_z
Er1 Er 0.000 0.000 0.000
Cd1 Cd 0.403 0.794 0.396
Pb1 Pb 0.195 0.418 0.188
Pb2 Pb 0.627 0.154 0.590
Pb3 Pb 0.803 0.587 0.809

=====

(4)
# SiAuCl2 (PBE-GGA, relaxed)
# Uncorrected formation energy = -0.31 eV per formula unit
# Uncorrected energy = -3.176 eV per atom
# Relative energy among the computed polymorphs = 321 meV per atom
data_SiAuCl2
_space_group_name_H-M_alt 'C m m 2'
_space_group_IT_number 35
_space_group_name_Hall 'C 2 -2'
_cell_length_a 3.418
_cell_length_b 6.615
_cell_length_c 8.845
_cell_angle_alpha 90.00
_cell_angle_beta 90.00
_cell_angle_gamma 90.00
loop_
_atom_site_label
_atom_site_type_symbol
_atom_site_fract_x
_atom_site_fract_y
_atom_site_fract_z
Si1 Si 0.000 0.000 0.000
Au1 Au 0.000 0.500 0.812
Cl1 Cl 0.000 0.000 0.603
Cl2 Cl 0.000 0.500 0.208